(1)
Here is LaCI2 after structural relaxation from the Alexandria database. Energies are from PBE.

**E**: -15.2 eV/f.u.
**SG**: Fm-3m (225)
**Mass density**: 5.8 g/cm³
**Energy above the most stable polymorph in this dataset**: 0.0 meV/atom
**Energy relative to the elements, uncorrected**: 0.513 eV per atom

Unit cell a=5.487 b=5.487 c=5.487 alpha=60.00 beta=60.00 gamma=60.00
Site moments in Bohr magnetons follow the coordinates.
Sites, in units of the cell vectors:
1 I 0.250 0.250 0.250  0.06
2 I 0.750 0.750 0.750  0.06
3 C 0.000 0.000 0.000  1.06
4 La 0.500 0.500 0.500  0.24

---

(2)
Here is La4C2I5 after structural relaxation from the Alexandria database. Energies are from PBE.

**E**: -58.8 eV/f.u.
**SG**: C2/m (12)
**Mass density**: 5.4 g/cm³
**Energy relative to the elements, uncorrected**: -1.176 eV per atom

Unit cell a=10.487 b=10.487 c=8.993 alpha=76.70 beta=76.70 gamma=22.79
Sites, in units of the cell vectors:
1 I 0.660 0.660 0.638
2 I 0.340 0.340 0.362
3 I 0.000 0.000 0.500
4 I 0.333 0.333 0.815
5 I 0.667 0.667 0.185
6 C 0.035 0.035 0.981
7 C 0.965 0.965 0.019
8 La 0.500 0.500 0.809
9 La 0.500 0.500 0.191
10 La 0.151 0.151 0.915
11 La 0.849 0.849 0.085

---

(3)
Here is LaCI2 after structural relaxation from the Alexandria database. Energies are from PBE.

**E**: -13.4 eV/f.u.
**SG**: I-42d (122)
**Mass density**: 5.0 g/cm³
**Energy above the most stable polymorph in this dataset**: 452.8 meV/atom
**Energy relative to the elements, uncorrected**: 0.966 eV per atom

Unit cell a=6.098 b=6.098 c=8.474 alpha=68.91 beta=68.91 gamma=90.00
Site moments in Bohr magnetons follow the coordinates.
Sites, in units of the cell vectors:
1 I 0.535 0.125 0.250  0.00
2 I 0.215 0.625 0.250  0.00
3 I 0.375 0.465 0.750  0.00
4 I 0.875 0.785 0.750  0.00
5 C 0.500 0.500 0.000  0.08
6 C 0.250 0.750 0.500  0.08
7 La 0.000 0.000 0.000  0.23
8 La 0.750 0.250 0.500  0.23

---

(4)
Here is LaC2I2 after structural relaxation from the Alexandria database. Energies are from PBE.

**E**: -19.2 eV/f.u.
**SG**: P4/mbm (127)
**Mass density**: 5.7 g/cm³
**Energy above the most stable polymorph in this dataset**: 0.0 meV/atom
**Energy relative to the elements, uncorrected**: 1.457 eV per atom

Unit cell a=8.184 b=8.184 c=3.656 alpha=90.00 beta=90.00 gamma=90.00
Sites, in units of the cell vectors:
1 I 0.351 0.851 0.000
2 I 0.851 0.649 0.000
3 I 0.649 0.149 0.000
4 I 0.149 0.351 0.000
5 C 0.235 0.735 0.500
6 C 0.735 0.765 0.500
7 C 0.765 0.265 0.500
8 C 0.265 0.235 0.500
9 La 0.000 0.000 0.000
10 La 0.500 0.500 0.000

---

(5)
Here is La2CI after structural relaxation from the Alexandria database. Energies are from PBE.

**E**: -22.4 eV/f.u.
**SG**: I-42d (122)
**Mass density**: 5.7 g/cm³
**Energy relative to the elements, uncorrected**: -0.455 eV per atom

Unit cell a=7.548 b=7.548 c=6.812 alpha=56.36 beta=56.36 gamma=90.00
Sites, in units of the cell vectors:
1 I 0.000 0.000 0.000
2 I 0.750 0.250 0.500
3 C 0.500 0.500 0.000
4 C 0.250 0.750 0.500
5 La 0.522 0.125 0.250
6 La 0.228 0.625 0.250
7 La 0.375 0.478 0.750
8 La 0.875 0.772 0.750

---

(6)
Here is LaCI after structural relaxation from the Alexandria database. Energies are from PBE.

**E**: -16.4 eV/f.u.
**SG**: Cmcm (63)
**Mass density**: 5.6 g/cm³
**Energy relative to the elements, uncorrected**: -0.217 eV per atom

Unit cell a=3.788 b=3.450 c=12.663 alpha=90.00 beta=98.60 gamma=90.00
Sites, in units of the cell vectors:
1 C 0.485 0.750 0.970
2 C 0.515 0.250 0.030
3 I 0.830 0.750 0.661
4 I 0.170 0.250 0.339
5 La 0.938 0.250 0.877
6 La 0.062 0.750 0.123

---

(7)
Here is La7CI12 after structural relaxation from the Alexandria database. Energies are from PBE.

**E**: -88.6 eV/f.u.
**SG**: R-3 (148)
**Mass density**: 5.1 g/cm³
**Energy relative to the elements, uncorrected**: -1.312 eV per atom

Unit cell a=9.983 b=9.983 c=9.983 alpha=107.61 beta=107.61 gamma=107.61
Site moments in Bohr magnetons follow the coordinates.
Sites, in units of the cell vectors:
1 La 0.967 0.706 0.898  0.16
2 La 0.294 0.102 0.033  0.16
3 La 0.102 0.033 0.294  0.16
4 La 0.500 0.500 0.500  0.05
5 La 0.898 0.967 0.706  0.16
6 La 0.706 0.898 0.967  0.16
7 La 0.033 0.294 0.102  0.16
8 C 0.000 0.000 0.000  -0.07
9 I 0.924 0.315 0.773  0.00
10 I 0.685 0.227 0.076  0.00
11 I 0.474 0.151 0.390  0.00
12 I 0.849 0.610 0.526  0.00
13 I 0.227 0.076 0.685  0.00
14 I 0.610 0.526 0.849  0.00
15 I 0.390 0.474 0.151  0.00
16 I 0.773 0.924 0.315  0.00
17 I 0.151 0.390 0.474  0.00
18 I 0.526 0.849 0.610  0.00
19 I 0.315 0.773 0.924  0.00
20 I 0.076 0.685 0.227  0.00

---

(8)
Here is La3CI2 after structural relaxation from the Alexandria database. Energies are from PBE.

**E**: -31.1 eV/f.u.
**SG**: C2/c (15)
**Mass density**: 6.3 g/cm³
**Energy relative to the elements, uncorrected**: -0.667 eV per atom

Unit cell a=6.992 b=7.669 c=7.669 alpha=113.37 beta=100.21 gamma=100.21
Sites, in units of the cell vectors:
1 La 0.998 0.260 0.395
2 La 0.498 0.395 0.260
3 La 0.000 0.500 0.000
4 La 0.002 0.740 0.605
5 La 0.500 0.000 0.500
6 La 0.502 0.605 0.740
7 C 0.250 0.575 0.425
8 C 0.750 0.425 0.575
9 I 0.250 0.927 0.073
10 I 0.250 0.227 0.773
11 I 0.750 0.073 0.927
12 I 0.750 0.773 0.227

---

(9)
Here is LaCI after structural relaxation from the Alexandria database. Energies are from PBE.

**E**: -18.4 eV/f.u.
**SG**: C2/m (12)
**Mass density**: 5.0 g/cm³
**Energy relative to the elements, uncorrected**: -0.911 eV per atom

Unit cell a=4.176 b=4.369 c=11.569 alpha=92.86 beta=90.00 gamma=118.55
Sites, in units of the cell vectors:
1 I 0.175 0.350 0.682
2 I 0.825 0.650 0.318
3 C 0.575 0.150 0.974
4 C 0.425 0.850 0.026
5 La 0.145 0.290 0.129
6 La 0.855 0.710 0.871

---

(10)
Here is La7C3I10 after structural relaxation from the Alexandria database. Energies are from PBE.

**E**: -102.6 eV/f.u.
**SG**: P-1 (2)
**Mass density**: 5.2 g/cm³
**Energy relative to the elements, uncorrected**: -1.249 eV per atom

Unit cell a=9.905 b=11.999 c=14.243 alpha=79.46 beta=71.27 gamma=66.01
Sites, in units of the cell vectors:
1 La 0.044 0.419 0.835
2 La 0.832 0.241 0.099
3 La 0.050 0.885 0.174
4 La 0.375 0.929 0.643
5 La 0.748 0.950 0.078
6 La 0.252 0.050 0.922
7 La 0.869 0.725 0.413
8 La 0.131 0.275 0.587
9 La 0.950 0.115 0.826
10 La 0.542 0.794 0.306
11 La 0.956 0.581 0.165
12 La 0.458 0.206 0.694
13 La 0.625 0.071 0.357
14 La 0.168 0.759 0.901
15 C 0.167 0.226 0.770
16 C 0.962 0.056 0.023
17 C 0.756 0.887 0.275
18 C 0.244 0.113 0.725
19 C 0.038 0.944 0.977
20 C 0.833 0.774 0.230
21 I 0.042 0.438 0.364
22 I 0.143 0.305 0.042
23 I 0.604 0.078 0.879
24 I 0.649 0.525 0.225
25 I 0.435 0.339 0.480
26 I 0.565 0.661 0.520
27 I 0.286 0.046 0.432
28 I 0.396 0.922 0.121
29 I 0.857 0.695 0.958
30 I 0.188 0.755 0.372
31 I 0.716 0.390 0.908
32 I 0.351 0.475 0.775
33 I 0.284 0.610 0.092
34 I 0.932 0.130 0.302
35 I 0.068 0.870 0.698
36 I 0.503 0.217 0.168
37 I 0.714 0.954 0.568
38 I 0.958 0.562 0.636
39 I 0.812 0.245 0.628
40 I 0.497 0.783 0.832